SrLa2Ga2 at its PBEsol-relaxed geometry, computed with meta-GGA SCAN. Values from VASP.

The structure in Quantum ESPRESSO input format:
```
&SYSTEM
  ibrav = 0, nat = 10, ntyp = 3
/
ATOMIC_SPECIES
Sr 87.62 Sr.upf
Ga 69.72 Ga.upf
La 138.91 La.upf
CELL_PARAMETERS angstrom
3.9057 0.0000 0.0000
0.0000 8.6339 0.0000
0.0000 0.0000 8.6339
ATOMIC_POSITIONS crystal
Sr 0.0000 0.0000 0.0000
Sr 0.0000 0.5000 0.5000
Ga 0.0000 0.3807 0.8807
Ga 0.0000 0.8807 0.6193
Ga 0.0000 0.6193 0.1193
Ga 0.0000 0.1193 0.3807
La 0.5000 0.1706 0.6706
La 0.5000 0.6706 0.8294
La 0.5000 0.8294 0.3294
La 0.5000 0.3294 0.1706
```

Computed properties:
symmetry: P4/mbm (127)
energy of formation from the pure elements: -2.253 eV/f.u.
total magnetic moment: 0.0003 μB/atom